A geometry-optimized Ho8C3Se3O structure, computed with PBE-GGA.

The structure in CIF format:
```
data_Ho8C3Se3O
_chemical_formula_sum 'Ho24 C9 Se9 O3'
_cell_length_a 7.3868
_cell_length_b 7.3868
_cell_length_c 19.3308
_cell_angle_alpha 90.00
_cell_angle_beta 90.00
_cell_angle_gamma 120.00
_symmetry_space_group_name_H-M 'R -3 m'
_symmetry_Int_Tables_number 166
_symmetry_space_group_name_Hall '-R 3 2"'
loop_
_atom_site_label
_atom_site_fract_x
_atom_site_fract_y
_atom_site_fract_z
_atom_site_occupancy
Ho1 0.0000 0.0000 0.2349 1
Ho2 0.0107 0.5054 0.7645 1
C1 0.0000 0.5000 0.5000 1
Se1 0.0000 0.5000 0.0000 1
O1 0.0000 0.0000 0.5000 1
```

Output
ρ (g/cm3): 8.8
E_tot (eV per atom): -6.615